# Ca2TlCoO4

A relaxed Ca2TlCoO4 crystal (GGA+U, Alexandria via LeMat-Bulk).

abc: 3.456 5.947 5.688
angles: 108.50 90.00 90.00
Sites, in units of the cell vectors:
Ca 0.500 0.000 0.500
Ca 0.000 0.500 0.500
Tl 0.500 0.500 0.000
Co 0.000 0.000 0.000
O 0.500 0.245 0.259
O 0.500 0.755 0.741
O 0.000 0.211 0.759
O 0.000 0.789 0.241

Output
Theoretical density ... 6.10 g/cm³
E ... -5.63 eV/atom